## La2SbRh (PBEsol)

Data for a geometry-optimized La2SbRh structure.

- Total energy: -6.613 eV/atom
- Space-group type: P4/mmm
- Total magnetization: 0.00 μB per atom
- ΔE_f (raw): -73.9 kJ/mol of atoms

a b c (Å): 3.572 3.572 7.956
angles (deg): 90.00 90.00 90.00
Fractional coordinates of all 4 atoms:
La1 0.000 0.000 0.784
La2 0.000 0.000 0.216
Rh1 0.500 0.500 0.000
Sb1 0.500 0.500 0.500